Compound: Na2TlBiPb2
Source: Alexandria
Functional: PBE-GGA
Structure: relaxed

As for the formation energy from the elements: -0.03 eV/atom. For the magnetic moment, the calculation gives 0.00 Bohr magnetons per cell.

Lattice parameters (Å, degrees): 8.312 6.368 8.591 90.00 114.99 90.00
Sites, in units of the cell vectors:
Na 0.029 0.250 0.094
Na 0.354 0.250 0.502
Na 0.646 0.750 0.498
Na 0.971 0.750 0.906
Tl 0.203 0.750 0.698
Tl 0.797 0.250 0.302
Bi 0.183 0.750 0.316
Bi 0.817 0.250 0.684
Pb 0.394 0.502 0.118
Pb 0.394 0.998 0.118
Pb 0.606 0.002 0.882
Pb 0.606 0.498 0.882

---

Compound: Na2Tl2BiPb
Source: Alexandria
Functional: PBE-GGA
Structure: relaxed

As for the formation energy from the elements: -0.11 eV/atom. For the magnetic moment, the calculation gives 0.00 Bohr magnetons per cell.

Lattice parameters (Å, degrees): 6.983 5.426 9.857 90.00 90.00 90.00
Sites, in units of the cell vectors:
Na 0.250 0.000 0.002
Na 0.250 0.500 0.495
Na 0.750 0.000 0.998
Na 0.750 0.500 0.505
Tl 0.004 0.000 0.679
Tl 0.496 0.000 0.679
Tl 0.504 0.000 0.321
Tl 0.996 0.000 0.321
Bi 0.250 0.500 0.165
Bi 0.750 0.500 0.835
Pb 0.250 0.500 0.833
Pb 0.750 0.500 0.167

---

Compound: NaTl2BiPb2
Source: Alexandria
Functional: PBE-GGA
Structure: relaxed

As for the formation energy from the elements: -0.08 eV/atom. For the magnetic moment, the calculation gives 0.00 Bohr magnetons per cell.

Lattice parameters (Å, degrees): 4.938 10.332 7.230 90.00 90.00 90.00
Sites, in units of the cell vectors:
Na 0.000 0.007 0.000
Na 0.000 0.993 0.500
Tl 0.000 0.331 0.006
Tl 0.000 0.669 0.506
Tl 0.500 0.165 0.250
Tl 0.500 0.835 0.750
Bi 0.500 0.165 0.746
Bi 0.500 0.835 0.246
Pb 0.000 0.322 0.494
Pb 0.000 0.678 0.994
Pb 0.500 0.490 0.750
Pb 0.500 0.510 0.250

---

Number 1: mass density 7.041 g/cm3. Number 2: mass density 7.744 g/cm3. Number 3: mass density 9.501 g/cm3.